The following is a GGA+U calculation of a relaxed NdNi2O4 crystal, from Alexandria via LeMat-Bulk.

Cell: 6.4866 6.4866 5.6078 Å, 90.00 90.00 124.81°
Last column: magnetic moment on the atom in μB.
Element x y z (fractional)
Nd 0.0000 0.0000 0.0000  0.02
Nd 0.5000 0.5000 0.5000  0.02
Ni 0.6900 0.3100 0.0976  1.87
Ni 0.3100 0.6900 0.9024  1.87
Ni 0.8100 0.1900 0.5976  1.87
Ni 0.1900 0.8100 0.4024  1.87
O 0.6454 0.8546 0.7500  0.16
O 0.3546 0.1454 0.2500  0.16
O 0.8546 0.6454 0.2500  0.16
O 0.1454 0.3546 0.7500  0.16
O 0.6643 0.3357 0.7624  0.34
O 0.3357 0.6643 0.2376  0.34
O 0.8357 0.1643 0.2624  0.34
O 0.1643 0.8357 0.7376  0.34

Computed properties:
Size of the total moment in μB/f.u.: 5.01
Energy above the most stable polymorph in this dataset in eV/atom: 0.129